DFT (PBE) results for a relaxed structure of TaZnBr2. Values from VASP.

Formation energy (no corrections), eV per atom: 0.77
Polymorph energy (0 for the lowest one), eV per atom: 0.945
V, Å³/f.u.: 86
Total moment, μB per cell: 2.63

```
&SYSTEM
  ibrav = 0, nat = 4, ntyp = 3
/
ATOMIC_SPECIES
Ta 180.95 Ta.upf
Zn 65.41 Zn.upf
Br 79.90 Br.upf
CELL_PARAMETERS angstrom
-2.096 2.096 4.901
2.096 -2.096 4.901
2.096 2.096 -4.901
ATOMIC_POSITIONS crystal
Ta 0.000 0.000 0.000
Zn 0.250 0.750 0.500
Br 0.500 0.500 0.000
Br 0.750 0.250 0.500
```